<a>
Density functional theory data (PBE) for an optimized crystal structure of SrLi2La.

Summary:
DOS(E_F)   1.3339 states/eV/atom

abc: 12.556 3.700 5.968
angles: 90.00 109.34 90.00
Space group Cm (No. 8)
One atom of each set of equivalent atoms:
Sr 0.000 0.000 0.000 [2 per cell]
Li 0.052 0.500 0.541 [2 per cell]
Li 0.238 0.000 0.814 [2 per cell]
La 0.295 0.500 0.358 [2 per cell]

---

<b>
Density functional theory data (PBE) for an optimized crystal structure of SrLi2La.

Summary:
DOS(E_F)   1.0821 states/eV/atom

abc: 8.071 8.071 8.071
angles: 90.00 90.00 90.00
Space group Fm-3m (No. 225)
One atom of each set of equivalent atoms:
Sr 0.000 0.000 0.000 [4 per cell]
Li 0.250 0.250 0.250 [8 per cell]
La 0.000 0.000 0.500 [4 per cell]

---

Most stable = <b>

---

<a>
Density functional theory data (PBE) for an optimized crystal structure of SrLi2La.

Summary:
DOS(E_F)   1.2528 states/eV/atom

abc: 8.288 8.310 3.826
angles: 90.00 90.09 90.00
Space group C2/m (No. 12)
One atom of each set of equivalent atoms:
Sr 0.000 0.000 0.000 [2 per cell]
Li 0.250 0.250 0.500 [4 per cell]
La 0.000 0.500 0.000 [2 per cell]

---

<b>
Density functional theory data (PBE) for an optimized crystal structure of SrLi2La.

Summary:
DOS(E_F)   1.0766 states/eV/atom

abc: 3.831 5.490 6.689
angles: 90.00 106.26 90.00
Space group Pm (No. 6)
One atom of each set of equivalent atoms:
Sr 0.000 0.000 0.000 [1 per cell]
Li 0.273 0.000 0.536 [1 per cell]
Li 0.406 0.500 0.817 [1 per cell]
La 0.696 0.500 0.384 [1 per cell]

---

<c>
Density functional theory data (PBE) for an optimized crystal structure of SrLi2La.

Summary:
DOS(E_F)   1.1342 states/eV/atom

abc: 7.959 7.959 7.959
angles: 90.00 90.00 90.00
Space group F-43m (No. 216)
One atom of each set of equivalent atoms:
Sr 0.000 0.000 0.000 [4 per cell]
Li 0.000 0.000 0.500 [4 per cell]
Li 0.250 0.250 0.250 [4 per cell]
La 0.250 0.250 0.750 [4 per cell]

---

Most stable = <a>

---

<a>
Density functional theory data (PBE) for an optimized crystal structure of SrLi2La.

Summary:
DOS(E_F)   1.2024 states/eV/atom

abc: 3.7665 3.7665 33.2848
angles: 90.00 90.00 120.00
Space group R3m (No. 160, hexagonal axes)
One atom of each set of equivalent atoms:
Sr 0.0000 0.0000 0.0000 [3 per cell]
Li 0.0000 0.0000 0.4838 [3 per cell]
Li 0.0000 0.0000 0.7553 [3 per cell]
La 0.0000 0.0000 0.2322 [3 per cell]

---

<b>
Density functional theory data (PBE) for an optimized crystal structure of SrLi2La.

Summary:
DOS(E_F)   0.8587 states/eV/atom

abc: 3.845 3.845 8.771
angles: 90.00 90.00 90.00
Space group P4mm (No. 99)
One atom of each set of equivalent atoms:
Sr 0.000 0.000 0.000 [1 per cell]
Li 0.000 0.000 0.584 [1 per cell]
Li 0.500 0.500 0.725 [1 per cell]
La 0.500 0.500 0.339 [1 per cell]

---

Most stable = <b>

---

<a>
Density functional theory data (PBE) for an optimized crystal structure of SrLi2La.

Summary:
DOS(E_F)   1.3109 states/eV/atom

abc: 3.7598 3.7598 34.0926
angles: 90.00 90.00 120.00
Space group R-3m (No. 166, hexagonal axes)
One atom of each set of equivalent atoms:
Sr 0.0000 0.0000 0.0000 [3 per cell]
Li 0.0000 0.0000 0.2476 [6 per cell]
La 0.0000 0.0000 0.5000 [3 per cell]

---

<b>
Density functional theory data (PBE) for an optimized crystal structure of SrLi2La.

Summary:
DOS(E_F)   1.0148 states/eV/atom

abc: 4.805 4.805 11.700
angles: 90.00 90.00 90.00
Space group I-4m2 (No. 119)
One atom of each set of equivalent atoms:
Sr 0.000 0.000 0.000 [2 per cell]
Li 0.000 0.000 0.500 [2 per cell]
Li 0.000 0.500 0.250 [2 per cell]
La 0.000 0.500 0.750 [2 per cell]

---

<c>
Density functional theory data (PBE) for an optimized crystal structure of SrLi2La.

Summary:
DOS(E_F)   0.9206 states/eV/atom

abc: 11.221 3.618 6.873
angles: 90.00 97.69 90.00
Space group C2/m (No. 12)
One atom of each set of equivalent atoms:
Sr 0.000 0.000 0.000 [2 per cell]
Li 0.247 0.000 0.722 [4 per cell]
La 0.000 0.500 0.500 [2 per cell]

---

<d>
Density functional theory data (PBE) for an optimized crystal structure of SrLi2La.

Summary:
DOS(E_F)   0.6365 states/eV/atom

abc: 8.717 8.717 7.166
angles: 90.00 90.00 90.00
Space group I-42d (No. 122)
One atom of each set of equivalent atoms:
Sr 0.000 0.000 0.000 [4 per cell]
Li 0.244 0.250 0.625 [8 per cell]
La 0.000 0.000 0.500 [4 per cell]

---

Most stable = <a>

---

<a>
Density functional theory data (PBE) for an optimized crystal structure of Sr3LiLa.

Summary:
DOS(E_F)   1.5282 states/eV/atom

abc: 6.553 6.553 6.553
angles: 90.00 90.00 90.00
Space group Pm-3m (No. 221)
One atom of each set of equivalent atoms:
Sr 0.000 0.000 0.500 [3 per cell]
Li 0.500 0.500 0.500 [1 per cell]
La 0.000 0.000 0.000 [1 per cell]

---

<b>
Density functional theory data (PBE) for an optimized crystal structure of Sr3LiLa.

Summary:
DOS(E_F)   1.3880 states/eV/atom

abc: 6.167 6.167 6.167
angles: 90.00 90.00 90.00
Space group Pm-3m (No. 221)
One atom of each set of equivalent atoms:
Sr 0.000 0.000 0.500 [3 per cell]
Li 0.000 0.000 0.000 [1 per cell]
La 0.500 0.500 0.500 [1 per cell]

---

Most stable = <b>

---

<a>
Density functional theory data (PBE) for an optimized crystal structure of LiLa2Ta.

Summary:
DOS(E_F)   1.3732 states/eV/atom

abc: 3.353 5.313 11.534
angles: 90.00 90.00 90.00
Space group Cmm2 (No. 35)
One atom of each set of equivalent atoms:
Li 0.000 0.000 0.000 [2 per cell]
La 0.000 0.000 0.562 [2 per cell]
La 0.000 0.500 0.263 [2 per cell]
Ta 0.000 0.500 0.791 [2 per cell]

---

<b>
Density functional theory data (PBE) for an optimized crystal structure of LiLa2Ta.

Summary:
DOS(E_F)   0.8728 states/eV/atom

abc: 3.441 3.441 8.609
angles: 90.00 90.00 90.00
Space group P4mm (No. 99)
One atom of each set of equivalent atoms:
Li 0.000 0.000 0.000 [1 per cell]
La 0.000 0.000 0.412 [1 per cell]
La 0.500 0.500 0.767 [1 per cell]
Ta 0.500 0.500 0.156 [1 per cell]

---

Most stable = <b>